Record 1
## TlP2Rh (PBE)

Data for a relaxed structure of TlP2Rh.

## Properties
E_tot: -4.849 eV per atom
magnetization: 0.00 μB per cell
ΔE_f: 1.14 eV per formula unit
ΔE to the lowest computed polymorph: 1.813 eV per formula unit

a = 3.166 Å, b = 6.047 Å, c = 8.163 Å
α = 90.00°, β = 90.00°, γ = 90.00°
Space group Imm2 (No. 44)
One atom of each set of equivalent atoms:
1 Tl 0.000 0.000 0.000 (multiplicity 2)
2 P 0.000 0.000 0.497 (multiplicity 2)
3 P 0.000 0.500 0.810 (multiplicity 2)
4 Rh 0.000 0.500 0.202 (multiplicity 2)

Record 2
## WSe2 (PBE)

Data for a relaxed structure of WSe2.

## Properties
E_tot: -6.065 eV per atom
magnetization: 0.00 μB per cell
formation energy (no corrections): 1.7 eV per formula unit

a = 4.424 Å, b = 4.424 Å, c = 27.573 Å
α = 90.00°, β = 90.00°, γ = 90.00°
Space group I4_1/amd (No. 141, origin choice 2)
One atom of each set of equivalent atoms:
1 W 0.000 0.250 0.273 (multiplicity 8)
2 Se 0.000 0.250 0.085 (multiplicity 8)
3 Se 0.000 0.250 0.786 (multiplicity 8)

Record 3
## PuHgPdPt (PBE)

Data for a relaxed structure of PuHgPdPt.

## Properties
E_tot: -6.904 eV per atom
magnetization: 19.66 μB per cell
ΔE_f: -1.75 eV per formula unit

a = 6.841 Å, b = 6.841 Å, c = 6.841 Å
α = 90.00°, β = 90.00°, γ = 90.00°
Space group F-43m (No. 216)
One atom of each set of equivalent atoms:
1 Pu 0.000 0.000 0.000 (multiplicity 4)
2 Hg 0.000 0.000 0.500 (multiplicity 4)
3 Pd 0.250 0.250 0.750 (multiplicity 4)
4 Pt 0.250 0.250 0.250 (multiplicity 4)

Record 4
## YTeNF2 (PBE)

Data for a relaxed structure of YTeNF2.

## Properties
E_tot: -5.885 eV per atom
magnetization: 0.27 μB per cell
ΔE to the lowest computed polymorph: 0.000 eV per formula unit
formation energy (no corrections): -7.8 eV per formula unit

a = 4.231 Å, b = 4.231 Å, c = 5.071 Å
α = 90.00°, β = 90.00°, γ = 90.00°
Space group P4/mmm (No. 123)
One atom of each set of equivalent atoms:
1 Y 0.000 0.000 0.000 (multiplicity 1)
2 Te 0.500 0.500 0.500 (multiplicity 1)
3 N 0.000 0.000 0.500 (multiplicity 1)
4 F 0.000 0.500 0.000 (multiplicity 2)

Record 5
## RbTa2In (PBE)

Data for a relaxed structure of RbTa2In.

## Properties
E_tot: -5.015 eV per atom
magnetization: 0.00 μB per cell
ΔE_f: 7.35 eV per formula unit

a = 8.578 Å, b = 8.578 Å, c = 5.741 Å
α = 90.00°, β = 90.00°, γ = 90.00°
Space group I-42d (No. 122)
One atom of each set of equivalent atoms:
1 Rb 0.000 0.000 0.000 (multiplicity 4)
2 Ta 0.210 0.250 0.625 (multiplicity 8)
3 In 0.000 0.000 0.500 (multiplicity 4)

Record 6
## CeGa3Ni3 (PBE)

Data for a relaxed structure of CeGa3Ni3.

## Properties
E_tot: -4.703 eV per atom
magnetization: 2.23 μB per cell
ΔE_f: -0.57 eV per formula unit
ΔE to the lowest computed polymorph: 1.567 eV per formula unit

a = 6.462 Å, b = 6.462 Å, c = 6.462 Å
α = 90.00°, β = 90.00°, γ = 90.00°
Space group Pm-3n (No. 223)
One atom of each set of equivalent atoms:
1 Ce 0.000 0.000 0.000 (multiplicity 2)
2 Ga 0.000 0.250 0.500 (multiplicity 6)
3 Ni 0.000 0.500 0.250 (multiplicity 6)

Record 7
## KCd2Co (PBE)

Data for a relaxed structure of KCd2Co.

## Properties
E_tot: -2.006 eV per atom
magnetization: 5.72 μB per cell
ΔE_f: 2.01 eV per formula unit
ΔE to the lowest computed polymorph: 0.736 eV per formula unit

a = 5.605 Å, b = 5.605 Å, c = 17.481 Å
α = 90.00°, β = 90.00°, γ = 90.00°
Space group I-42d (No. 122)
One atom of each set of equivalent atoms:
1 K 0.000 0.000 0.000 (multiplicity 4)
2 Cd 0.002 0.250 0.625 (multiplicity 8)
3 Co 0.000 0.000 0.500 (multiplicity 4)

Record 8
## TmNpPa2As4 (PBE)

Data for a relaxed structure of TmNpPa2As4.

## Properties
E_tot: -7.945 eV per atom
magnetization: 4.71 μB per cell
ΔE_f: -8.56 eV per formula unit

a = 7.050 Å, b = 4.098 Å, c = 7.101 Å
α = 90.00°, β = 109.58°, γ = 90.00°
Space group P2/m (No. 10)
One atom of each set of equivalent atoms:
1 Tm 0.000 0.000 0.000 (multiplicity 1)
2 Np 0.000 0.500 0.500 (multiplicity 1)
3 Pa 0.500 0.000 0.500 (multiplicity 1)
4 Pa 0.500 0.500 0.000 (multiplicity 1)
5 As 0.249 0.000 0.752 (multiplicity 2)
6 As 0.249 0.500 0.247 (multiplicity 2)